{"formula": "HfCrW", "functional": "GGA-PBE", "state": "relaxed", "rho_g_cm3": 13.1, "e_above_lowest_polymorph_mev_per_atom": 329, "delta_e_f_mev_per_atom": 195, "lattice_angstrom": [[-2.0183, 0.2157, 4.8357], [3.6081, -0.7579, 1.5398], [1.9841, 9.8353, 0.1917]], "species": ["Cr", "Cr", "Cr", "Cr", "Hf", "Hf", "Hf", "Hf", "W", "W", "W", "W"], "frac_coords": [[0.5414, 0.0000, 0.2032], [0.5414, 0.5000, 0.7032], [0.7754, 0.0000, 0.7666], [0.7754, 0.5000, 0.2666], [0.2873, 0.0000, 0.9151], [0.2873, 0.5000, 0.4151], [0.7841, 0.0000, 0.4829], [0.7841, 0.5000, 0.9829], [0.2967, 0.0000, 0.6289], [0.2967, 0.5000, 0.1289], [0.0227, 0.0000, 0.2040], [0.0227, 0.5000, 0.7040]]}


{"formula": "Zn2CoSi", "functional": "GGA-PBE", "state": "relaxed", "rho_g_cm3": 6.5, "e_form_raw_ev_per_atom": 0.162, "lattice_angstrom": [[2.6121, 0.0098, 0.0000], [-0.0079, 2.6121, 0.0000], [0.0000, 0.0000, 8.1405]], "species": ["Co", "Si", "Zn", "Zn"], "frac_coords": [[0.5000, 0.5000, 0.2500], [0.5000, 0.5000, 0.7500], [0.0000, 0.0000, 0.0349], [0.0000, 0.0000, 0.4651]]}


{"formula": "AsRuRh2", "functional": "GGA-PBE", "state": "relaxed", "rho_g_cm3": 11.1, "delta_e_f_mev_per_atom": 17, "lattice_angstrom": [[-3.6902, -2.9058, 0.1498], [-1.2932, -1.0282, -4.3993], [4.1851, -0.1833, 2.1295]], "species": ["Ru", "As", "Rh", "Rh"], "frac_coords": [[0.2500, 0.7500, 0.5000], [0.7500, 0.2500, 0.5000], [0.0000, 0.0000, 0.0000], [0.5000, 0.5000, 0.0000]]}


> What is the formula in the second record?

Zn2CoSi